Record 1
# TlHg2Os

A geometry-optimized TlHg2Os structure (PBE, Alexandria via LeMat-Bulk).

Unit cell a=3.127 b=5.024 c=5.635 alpha=90.00 beta=102.73 gamma=90.00
Positions (direct):
Tl 0.000 0.000 0.000
Hg 0.347 0.500 0.729
Hg 0.653 0.500 0.271
Os 0.000 0.000 0.500

Computed properties:
**Total magnetic moment**: 0.94 μB/cell
**Volume**: 86.34 Å³/cell
**N(E_F)**: 3.15 states/eV per cell
**Energy of formation**: 317 kJ/mol of formula units
**Space-group type**: P2/m
**Raw total energy**: -2.73 eV per atom

Record 2
# TlZnHg2Os

A geometry-optimized TlZnHg2Os structure (PBE, Alexandria via LeMat-Bulk).

Unit cell a=5.981 b=5.981 c=5.344 alpha=90.00 beta=90.00 gamma=90.00
Positions (direct):
Tl 0.000 0.000 0.000
Zn 0.500 0.500 0.500
Hg 0.000 0.500 0.000
Hg 0.500 0.000 0.000
Os 0.000 0.000 0.500

Computed properties:
**Total magnetic moment**: 2.66 μB/cell
**Volume**: 191.13 Å³/cell
**N(E_F)**: 2.77 states/eV per cell
**Energy of formation**: 703 kJ/mol of formula units
**Space-group type**: P4/mmm
**Raw total energy**: -1.64 eV per atom

Record 3
# Tm6HgOs2

A geometry-optimized Tm6HgOs2 structure (PBE, Alexandria via LeMat-Bulk).

Unit cell a=8.370 b=8.370 c=8.370 alpha=112.73 beta=112.53 gamma=103.33
Positions (direct):
Tm 0.018 0.832 0.186
Tm 0.245 0.541 0.296
Tm 0.245 0.949 0.704
Tm 0.281 0.317 0.598
Tm 0.281 0.683 0.965
Tm 0.353 0.168 0.186
Tm 0.647 0.832 0.814
Tm 0.719 0.317 0.035
Tm 0.719 0.683 0.402
Tm 0.755 0.051 0.296
Tm 0.755 0.459 0.704
Tm 0.982 0.168 0.814
Hg 0.000 0.500 0.500
Hg 0.500 0.000 0.500
Os 0.000 0.173 0.173
Os 0.000 0.827 0.827
Os 0.376 0.376 0.000
Os 0.624 0.624 0.000

Computed properties:
**Total magnetic moment**: 0.00 μB/cell
**Volume**: 447.57 Å³/cell
**N(E_F)**: 17.87 states/eV per cell
**Energy of formation**: -287 kJ/mol of formula units
**Space-group type**: Immm
**Raw total energy**: -5.84 eV per atom

Record 4
# Tm5Hg2Os

A geometry-optimized Tm5Hg2Os structure (PBE, Alexandria via LeMat-Bulk).

Unit cell a=6.789 b=12.015 c=4.894 alpha=90.00 beta=90.00 gamma=90.00
Positions (direct):
Tm 0.000 0.000 0.000
Tm 0.137 0.290 0.000
Tm 0.168 0.590 0.500
Tm 0.332 0.090 0.500
Tm 0.363 0.790 0.000
Tm 0.500 0.500 0.000
Tm 0.637 0.210 0.000
Tm 0.668 0.910 0.500
Tm 0.832 0.410 0.500
Tm 0.863 0.710 0.000
Hg 0.096 0.844 0.500
Hg 0.404 0.344 0.500
Hg 0.596 0.656 0.500
Hg 0.904 0.156 0.500
Os 0.000 0.500 0.000
Os 0.500 0.000 0.000

Computed properties:
**Total magnetic moment**: 0.00 μB/cell
**Volume**: 399.22 Å³/cell
**N(E_F)**: 12.34 states/eV per cell
**Energy of formation**: -295 kJ/mol of formula units
**Space-group type**: Pbam
**Raw total energy**: -4.66 eV per atom

Record 5
# Tm7Hg2Os2

A geometry-optimized Tm7Hg2Os2 structure (PBE, Alexandria via LeMat-Bulk).

Unit cell a=6.651 b=6.651 c=7.032 alpha=90.00 beta=90.00 gamma=105.67
Positions (direct):
Tm 0.000 0.000 0.000
Tm 0.000 0.500 0.250
Tm 0.000 0.500 0.750
Tm 0.500 0.000 0.250
Tm 0.500 0.000 0.750
Tm 0.500 0.500 0.241
Tm 0.500 0.500 0.759
Hg 0.185 0.185 0.500
Hg 0.815 0.815 0.500
Os 0.290 0.710 0.000
Os 0.710 0.290 0.000

Computed properties:
**Total magnetic moment**: 0.00 μB/cell
**Volume**: 299.55 Å³/cell
**N(E_F)**: 8.40 states/eV per cell
**Energy of formation**: -251 kJ/mol of formula units
**Space-group type**: Cmmm
**Raw total energy**: -5.18 eV per atom

Record 6
# Tm12Hg3Os5

A geometry-optimized Tm12Hg3Os5 structure (PBE, Alexandria via LeMat-Bulk).

Unit cell a=14.487 b=14.487 c=14.487 alpha=109.47 beta=109.47 gamma=109.47
Positions (direct):
Tm 0.031 0.207 0.116
Tm 0.031 0.324 0.915
Tm 0.085 0.616 0.409
Tm 0.085 0.969 0.676
Tm 0.091 0.707 0.676
Tm 0.091 0.884 0.415
Tm 0.116 0.031 0.207
Tm 0.116 0.585 0.909
Tm 0.176 0.207 0.591
Tm 0.176 0.469 0.585
Tm 0.207 0.116 0.031
Tm 0.207 0.591 0.176
Tm 0.293 0.324 0.909
Tm 0.293 0.469 0.384
Tm 0.324 0.909 0.293
Tm 0.324 0.915 0.031
Tm 0.384 0.293 0.469
Tm 0.384 0.591 0.915
Tm 0.409 0.085 0.616
Tm 0.409 0.824 0.793
Tm 0.415 0.091 0.884
Tm 0.415 0.824 0.531
Tm 0.469 0.384 0.293
Tm 0.469 0.585 0.176
Tm 0.531 0.415 0.824
Tm 0.531 0.616 0.707
Tm 0.585 0.176 0.469
Tm 0.585 0.909 0.116
Tm 0.591 0.176 0.207
Tm 0.591 0.915 0.384
Tm 0.616 0.409 0.085
Tm 0.616 0.707 0.531
Tm 0.676 0.085 0.969
Tm 0.676 0.091 0.707
Tm 0.707 0.531 0.616
Tm 0.707 0.676 0.091
Tm 0.793 0.409 0.824
Tm 0.793 0.884 0.969
Tm 0.824 0.531 0.415
Tm 0.824 0.793 0.409
Tm 0.884 0.415 0.091
Tm 0.884 0.969 0.793
Tm 0.909 0.116 0.585
Tm 0.909 0.293 0.324
Tm 0.915 0.031 0.324
Tm 0.915 0.384 0.591
Tm 0.969 0.676 0.085
Tm 0.969 0.793 0.884
Hg 0.125 0.250 0.375
Hg 0.125 0.375 0.750
Hg 0.250 0.375 0.125
Hg 0.250 0.875 0.625
Hg 0.375 0.125 0.250
Hg 0.375 0.750 0.125
Hg 0.625 0.250 0.875
Hg 0.625 0.875 0.750
Hg 0.750 0.125 0.375
Hg 0.750 0.625 0.875
Hg 0.875 0.625 0.250
Hg 0.875 0.750 0.625
Os 0.000 0.000 0.000
Os 0.000 0.000 0.500
Os 0.000 0.500 0.000
Os 0.000 0.500 0.500
Os 0.125 0.750 0.875
Os 0.125 0.875 0.250
Os 0.250 0.125 0.875
Os 0.250 0.625 0.375
Os 0.375 0.250 0.625
Os 0.375 0.625 0.750
Os 0.500 0.000 0.000
Os 0.500 0.000 0.500
Os 0.500 0.500 0.000
Os 0.500 0.500 0.500
Os 0.625 0.375 0.250
Os 0.625 0.750 0.375
Os 0.750 0.375 0.625
Os 0.750 0.875 0.125
Os 0.875 0.125 0.750
Os 0.875 0.250 0.125

Computed properties:
**Total magnetic moment**: 0.00 μB/cell
**Volume**: 2340.69 Å³/cell
**N(E_F)**: 41.61 states/eV per cell
**Energy of formation**: 324 kJ/mol of formula units
**Space-group type**: Ia-3d
**Raw total energy**: -5.37 eV per atom

Record 7
# YTmHgOs

A geometry-optimized YTmHgOs structure (PBE, Alexandria via LeMat-Bulk).

Unit cell a=4.988 b=4.988 c=4.988 alpha=60.00 beta=60.00 gamma=60.00
Positions (direct):
Y 0.000 0.000 0.000
Tm 0.500 0.500 0.500
Hg 0.250 0.250 0.250
Os 0.750 0.750 0.750

Computed properties:
**Total magnetic moment**: 0.00 μB/cell
**Volume**: 87.77 Å³/cell
**N(E_F)**: 3.47 states/eV per cell
**Energy of formation**: -108 kJ/mol of formula units
**Space-group type**: F-43m
**Raw total energy**: -5.90 eV per atom

Record 8
# YTmHgOs

A geometry-optimized YTmHgOs structure (PBE, Alexandria via LeMat-Bulk).

Unit cell a=3.446 b=3.446 c=7.545 alpha=90.00 beta=90.00 gamma=90.00
Positions (direct):
Y 0.000 0.000 0.000
Tm 0.000 0.000 0.563
Hg 0.500 0.500 0.287
Os 0.500 0.500 0.775

Computed properties:
**Total magnetic moment**: 0.00 μB/cell
**Volume**: 89.60 Å³/cell
**N(E_F)**: 3.20 states/eV per cell
**Energy of formation**: -155 kJ/mol of formula units
**Space-group type**: P4mm
**Raw total energy**: -6.02 eV per atom

Record 9
# UHgOs

A geometry-optimized UHgOs structure (PBE, Alexandria via LeMat-Bulk).

Unit cell a=13.455 b=13.455 c=13.455 alpha=166.67 beta=166.67 gamma=18.90
Positions (direct):
U 0.151 0.151 0.000
U 0.849 0.849 0.000
Hg 0.446 0.446 0.000
Hg 0.554 0.554 0.000
Os 0.284 0.284 0.000
Os 0.716 0.716 0.000

Computed properties:
**Total magnetic moment**: 3.18 μB/cell
**Volume**: 129.52 Å³/cell
**N(E_F)**: 8.01 states/eV per cell
**Energy of formation**: 46 kJ/mol of formula units
**Space-group type**: I4/mmm
**Raw total energy**: -7.45 eV per atom

Record 10
# U2HgOs

A geometry-optimized U2HgOs structure (PBE, Alexandria via LeMat-Bulk).

Unit cell a=3.678 b=3.678 c=6.496 alpha=90.00 beta=90.00 gamma=90.00
Positions (direct):
U 0.000 0.000 0.193
U 0.000 0.000 0.807
Hg 0.500 0.500 0.500
Os 0.500 0.500 0.000

Computed properties:
**Total magnetic moment**: 0.91 μB/cell
**Volume**: 87.89 Å³/cell
**N(E_F)**: 7.83 states/eV per cell
**Energy of formation**: 69 kJ/mol of formula units
**Space-group type**: P4/mmm
**Raw total energy**: -8.35 eV per atom

Record 11
# VHg2Os

A geometry-optimized VHg2Os structure (PBE, Alexandria via LeMat-Bulk).

Unit cell a=6.021 b=6.021 c=6.021 alpha=101.71 beta=101.71 gamma=126.44
Positions (direct):
V 0.000 0.000 0.000
V 0.750 0.250 0.500
Hg 0.131 0.125 0.506
Hg 0.375 0.869 0.994
Hg 0.619 0.625 0.494
Hg 0.875 0.381 0.006
Os 0.250 0.750 0.500
Os 0.500 0.500 0.000

Computed properties:
**Total magnetic moment**: 5.33 μB/cell
**Volume**: 156.79 Å³/cell
**N(E_F)**: 11.51 states/eV per cell
**Energy of formation**: 431 kJ/mol of formula units
**Space-group type**: I-42d
**Raw total energy**: -4.12 eV per atom

Record 12
# V2HgOs2

A geometry-optimized V2HgOs2 structure (PBE, Alexandria via LeMat-Bulk).

Unit cell a=7.419 b=7.419 c=2.860 alpha=90.00 beta=90.00 gamma=90.00
Positions (direct):
V 0.153 0.347 0.000
V 0.347 0.847 0.000
V 0.653 0.153 0.000
V 0.847 0.653 0.000
Hg 0.000 0.000 0.500
Hg 0.500 0.500 0.500
Os 0.136 0.636 0.500
Os 0.364 0.136 0.500
Os 0.636 0.864 0.500
Os 0.864 0.364 0.500

Computed properties:
**Total magnetic moment**: 0.00 μB/cell
**Volume**: 157.39 Å³/cell
**N(E_F)**: 7.39 states/eV per cell
**Energy of formation**: 57 kJ/mol of formula units
**Space-group type**: P4/mbm
**Raw total energy**: -8.08 eV per atom

Record 13
# VHg2Os

A geometry-optimized VHg2Os structure (PBE, Alexandria via LeMat-Bulk).

Unit cell a=4.586 b=4.586 c=4.586 alpha=60.00 beta=60.00 gamma=60.00
Positions (direct):
V 0.000 0.000 0.000
Hg 0.250 0.250 0.250
Hg 0.750 0.750 0.750
Os 0.500 0.500 0.500

Computed properties:
**Total magnetic moment**: 0.00 μB/cell
**Volume**: 68.19 Å³/cell
**N(E_F)**: 3.56 states/eV per cell
**Energy of formation**: 304 kJ/mol of formula units
**Space-group type**: Fm-3m
**Raw total energy**: -4.45 eV per atom

Record 14
# V2HgOs2

A geometry-optimized V2HgOs2 structure (PBE, Alexandria via LeMat-Bulk).

Unit cell a=6.037 b=6.037 c=6.037 alpha=140.93 beta=140.93 gamma=56.45
Positions (direct):
V 0.250 0.750 0.500
V 0.750 0.250 0.500
Hg 0.000 0.000 0.000
Os 0.380 0.380 0.000
Os 0.620 0.620 0.000

Computed properties:
**Total magnetic moment**: 0.00 μB/cell
**Volume**: 86.70 Å³/cell
**N(E_F)**: 2.30 states/eV per cell
**Energy of formation**: 103 kJ/mol of formula units
**Space-group type**: I4/mmm
**Raw total energy**: -7.99 eV per atom

Record 15
# V2HgOsW

A geometry-optimized V2HgOsW structure (PBE, Alexandria via LeMat-Bulk).

Unit cell a=4.616 b=4.616 c=4.861 alpha=90.00 beta=90.00 gamma=90.00
Positions (direct):
V 0.000 0.500 0.000
V 0.500 0.000 0.000
Hg 0.000 0.000 0.000
Os 0.000 0.000 0.500
W 0.500 0.500 0.500

Computed properties:
**Total magnetic moment**: 0.00 μB/cell
**Volume**: 103.58 Å³/cell
**N(E_F)**: 10.48 states/eV per cell
**Energy of formation**: 1300 kJ/mol of formula units
**Space-group type**: P4/mmm
**Raw total energy**: -5.85 eV per atom

Record 16
# Y2VHgOs

A geometry-optimized Y2VHgOs structure (PBE, Alexandria via LeMat-Bulk).

Unit cell a=5.258 b=5.258 c=5.251 alpha=90.00 beta=90.00 gamma=90.00
Positions (direct):
Y 0.000 0.500 0.000
Y 0.500 0.000 0.000
V 0.000 0.000 0.500
Hg 0.500 0.500 0.500
Os 0.500 0.500 0.000

Computed properties:
**Total magnetic moment**: 0.19 μB/cell
**Volume**: 145.15 Å³/cell
**N(E_F)**: 6.83 states/eV per cell
**Energy of formation**: 427 kJ/mol of formula units
**Space-group type**: P4/mmm
**Raw total energy**: -5.83 eV per atom

Record 17
# HgOs2W

A geometry-optimized HgOs2W structure (PBE, Alexandria via LeMat-Bulk).

Unit cell a=2.832 b=4.018 c=5.739 alpha=90.00 beta=90.04 gamma=90.00
Positions (direct):
Hg 0.000 0.000 0.000
Os 0.002 0.000 0.499
Os 0.501 0.500 0.729
W 0.498 0.500 0.293

Computed properties:
**Total magnetic moment**: 0.00 μB/cell
**Volume**: 65.31 Å³/cell
**N(E_F)**: 3.98 states/eV per cell
**Energy of formation**: 234 kJ/mol of formula units
**Space-group type**: Pm
**Raw total energy**: -8.32 eV per atom

Record 18
# HgOs2W

A geometry-optimized HgOs2W structure (PBE, Alexandria via LeMat-Bulk).

Unit cell a=6.019 b=6.019 c=6.019 alpha=153.37 beta=134.77 gamma=53.26
Positions (direct):
Hg 0.000 0.000 0.000
Os 0.543 0.543 0.000
Os 0.742 0.242 0.500
W 0.318 0.818 0.500

Computed properties:
**Total magnetic moment**: 0.00 μB/cell
**Volume**: 69.07 Å³/cell
**N(E_F)**: 2.69 states/eV per cell
**Energy of formation**: 282 kJ/mol of formula units
**Space-group type**: Imm2
**Raw total energy**: -8.20 eV per atom

Record 19
# HgOsW2

A geometry-optimized HgOsW2 structure (PBE, Alexandria via LeMat-Bulk).

Unit cell a=5.937 b=5.937 c=5.937 alpha=102.01 beta=102.01 gamma=125.71
Positions (direct):
Hg 0.000 0.000 0.000
Hg 0.750 0.250 0.500
Os 0.250 0.750 0.500
Os 0.500 0.500 0.000
W 0.175 0.125 0.550
W 0.375 0.825 0.950
W 0.575 0.625 0.450
W 0.875 0.425 0.050

Computed properties:
**Total magnetic moment**: 0.00 μB/cell
**Volume**: 151.22 Å³/cell
**N(E_F)**: 2.93 states/eV per cell
**Energy of formation**: 405 kJ/mol of formula units
**Space-group type**: I-42d
**Raw total energy**: -8.31 eV per atom

Record 20
# HgOsW

A geometry-optimized HgOsW structure (PBE, Alexandria via LeMat-Bulk).

Unit cell a=5.108 b=5.108 c=5.108 alpha=146.74 beta=135.65 gamma=56.54
Positions (direct):
Hg 0.000 0.000 0.000
Os 0.683 0.683 0.000
W 0.316 0.316 0.000

Computed properties:
**Total magnetic moment**: 0.00 μB/cell
**Volume**: 50.70 Å³/cell
**N(E_F)**: 2.50 states/eV per cell
**Energy of formation**: 181 kJ/mol of formula units
**Space-group type**: Imm2
**Raw total energy**: -7.54 eV per atom

Record 21
# HgOsW2

A geometry-optimized HgOsW2 structure (PBE, Alexandria via LeMat-Bulk).

Unit cell a=4.975 b=4.975 c=4.955 alpha=100.97 beta=100.97 gamma=33.81
Positions (direct):
Hg 0.000 0.000 0.000
Os 0.238 0.238 0.716
W 0.507 0.507 0.508
W 0.763 0.763 0.271

Computed properties:
**Total magnetic moment**: 0.00 μB/cell
**Volume**: 66.87 Å³/cell
**N(E_F)**: 3.21 states/eV per cell
**Energy of formation**: 221 kJ/mol of formula units
**Space-group type**: Cm
**Raw total energy**: -8.79 eV per atom

Record 22
# HgOsW

A geometry-optimized HgOsW structure (PBE, Alexandria via LeMat-Bulk).

Unit cell a=2.866 b=2.866 c=7.211 alpha=90.00 beta=90.00 gamma=120.00
Positions (direct):
Hg 0.000 0.000 0.000
Os 0.667 0.333 0.354
W 0.333 0.667 0.639

Computed properties:
**Total magnetic moment**: 0.00 μB/cell
**Volume**: 51.28 Å³/cell
**N(E_F)**: 1.92 states/eV per cell
**Energy of formation**: 134 kJ/mol of formula units
**Space-group type**: P3m1
**Raw total energy**: -7.70 eV per atom

Record 23
# HgOsW

A geometry-optimized HgOsW structure (PBE, Alexandria via LeMat-Bulk).

Unit cell a=4.373 b=4.373 c=4.373 alpha=60.00 beta=60.00 gamma=60.00
Positions (direct):
Hg 0.000 0.000 0.000
Os 0.750 0.750 0.750
W 0.500 0.500 0.500

Computed properties:
**Total magnetic moment**: 0.00 μB/cell
**Volume**: 59.14 Å³/cell
**N(E_F)**: 4.06 states/eV per cell
**Energy of formation**: 284 kJ/mol of formula units
**Space-group type**: F-43m
**Raw total energy**: -7.18 eV per atom